Ho2Hf2Sc3: relaxed, PBE.

Unit cell a=3.2762 b=7.4226 c=8.0144 alpha=111.22 beta=90.03 gamma=102.66
Closest atoms and distances in Å follow each position.
Atoms (fractional coordinates):
Ho 0.0810 0.1588 0.2206  3 Hf 3.16-3.24, 3 Ho 3.28-3.43, 6 Sc 3.30-3.50
Ho 0.9190 0.8412 0.7794  3 Hf 3.16-3.24, 3 Ho 3.28-3.43, 6 Sc 3.30-3.50
Hf 0.2125 0.4253 0.6353  3 Ho 3.16-3.24, 4 Hf 3.21-3.28, 5 Sc 3.22-3.35
Hf 0.7875 0.5747 0.3647  3 Ho 3.16-3.24, 4 Hf 3.21-3.28, 5 Sc 3.22-3.35
Sc 0.3498 0.6999 0.0768  5 Sc 3.15-3.28, 3 Hf 3.22-3.35, 4 Ho 3.35-3.50
Sc 0.5000 0.0000 0.5000  4 Sc 3.28, 4 Hf 3.29-3.30, 4 Ho 3.30-3.31
Sc 0.6502 0.3001 0.9232  5 Sc 3.15-3.28, 3 Hf 3.22-3.35, 4 Ho 3.35-3.50

Calculated values
* VASP energy: -47.4 eV/cell


Ho7HfSc12: relaxed, PBE.

Unit cell a=8.2030 b=8.2030 c=8.2030 alpha=89.56 beta=89.56 gamma=89.56
Closest atoms and distances in Å follow each position.
Atoms (fractional coordinates):
Ho 0.0000 0.0000 0.0000  6 Sc 3.07
Ho 0.1207 0.4570 0.3423  6 Sc 3.22-3.57, 3 Ho 3.32-3.42, 1 Hf 3.40
Ho 0.3423 0.1207 0.4570  6 Sc 3.22-3.57, 3 Ho 3.32-3.42, 1 Hf 3.40
Ho 0.4570 0.3423 0.1207  6 Sc 3.22-3.57, 3 Ho 3.32-3.42, 1 Hf 3.40
Ho 0.5430 0.6577 0.8793  6 Sc 3.22-3.57, 3 Ho 3.32-3.42, 1 Hf 3.40
Ho 0.6577 0.8793 0.5430  6 Sc 3.22-3.57, 3 Ho 3.32-3.42, 1 Hf 3.40
Ho 0.8793 0.5430 0.6577  6 Sc 3.22-3.57, 3 Ho 3.32-3.42, 1 Hf 3.40
Hf 0.5000 0.5000 0.5000  6 Sc 3.31, 6 Ho 3.40
Sc 0.0043 0.8818 0.3562  4 Sc 3.07-3.20, 2 Ho 3.07-3.22
Sc 0.1182 0.6438 0.9957  4 Sc 3.07-3.20, 2 Ho 3.07-3.22
Sc 0.2200 0.7591 0.6357  3 Sc 3.07-3.20, 1 Hf 3.31, 2 Ho 3.32-3.42
Sc 0.2409 0.3643 0.7800  3 Sc 3.07-3.20, 1 Hf 3.31, 2 Ho 3.32-3.42
Sc 0.3562 0.0043 0.8818  4 Sc 3.07-3.20, 2 Ho 3.07-3.22
Sc 0.3643 0.7800 0.2409  3 Sc 3.07-3.20, 1 Hf 3.31, 2 Ho 3.32-3.42
Sc 0.6357 0.2200 0.7591  3 Sc 3.07-3.20, 1 Hf 3.31, 2 Ho 3.32-3.42
Sc 0.6438 0.9957 0.1182  4 Sc 3.07-3.20, 2 Ho 3.07-3.22
Sc 0.7591 0.6357 0.2200  3 Sc 3.07-3.20, 1 Hf 3.31, 2 Ho 3.32-3.42
Sc 0.7800 0.2409 0.3643  3 Sc 3.07-3.20, 1 Hf 3.31, 2 Ho 3.32-3.42
Sc 0.8818 0.3562 0.0043  4 Sc 3.07-3.20, 2 Ho 3.07-3.22
Sc 0.9957 0.1182 0.6438  4 Sc 3.07-3.20, 2 Ho 3.07-3.22

Calculated values
* VASP energy: -112.9 eV/cell


HoHfSc: relaxed, PBE.

Unit cell a=5.1769 b=5.1769 c=3.2800 alpha=90.00 beta=90.00 gamma=120.00
Closest atoms and distances in Å follow each position.
Atoms (fractional coordinates):
Ho 0.0000 0.0000 0.0000  2 Ho 3.28, 6 Hf 3.41, 6 Sc 3.41
Hf 0.6667 0.3333 0.5000  3 Sc 2.99, 2 Hf 3.28
Sc 0.3333 0.6667 0.5000  3 Hf 2.99, 2 Sc 3.28

Calculated values
* energy above the most stable polymorph in this dataset: 0.34 eV per formula unit


HoHf4Sc8: relaxed, PBE.

Unit cell a=6.2413 b=6.2413 c=9.7889 alpha=90.10 beta=90.10 gamma=59.94
Closest atoms and distances in Å follow each position.
Atoms (fractional coordinates):
Ho 0.0000 0.0000 0.0000  6 Sc 2.99
Hf 0.0000 0.0000 0.5000  6 Sc 3.12, 6 Hf 3.12
Hf 0.0000 0.5000 0.5000  4 Sc 3.09-3.10, 6 Hf 3.12
Hf 0.5000 0.0000 0.5000  4 Sc 3.09-3.10, 6 Hf 3.12
Hf 0.5000 0.5000 0.5000  4 Sc 3.10, 6 Hf 3.12
Sc 0.1688 0.1688 0.7583  1 Ho 2.99, 4 Sc 3.08-3.16, 3 Hf 3.10-3.12
Sc 0.1690 0.6624 0.7581  1 Ho 2.99, 4 Sc 3.08-3.16, 3 Hf 3.09-3.12
Sc 0.3325 0.3325 0.0863  9 Sc 3.47-3.68, 3 Ho 3.69-3.70
Sc 0.3376 0.8310 0.2419  1 Ho 2.99, 4 Sc 3.08-3.16, 3 Hf 3.09-3.12
Sc 0.6624 0.1690 0.7581  1 Ho 2.99, 4 Sc 3.08-3.16, 3 Hf 3.09-3.12
Sc 0.6675 0.6675 0.9137  9 Sc 3.47-3.68, 3 Ho 3.69-3.70
Sc 0.8310 0.3376 0.2419  1 Ho 2.99, 4 Sc 3.08-3.16, 3 Hf 3.09-3.12
Sc 0.8312 0.8312 0.2417  1 Ho 2.99, 4 Sc 3.08-3.16, 3 Hf 3.10-3.12

Calculated values
* VASP energy: -91.1 eV/cell


HoHfSc2: relaxed, PBE.

Unit cell a=4.6568 b=4.6568 c=4.5998 alpha=90.00 beta=90.00 gamma=90.00
Closest atoms and distances in Å follow each position.
Atoms (fractional coordinates):
Ho 0.0000 0.0000 0.0000  8 Sc 3.27, 4 Hf 3.29
Hf 0.5000 0.5000 0.0000  8 Sc 3.27, 4 Ho 3.29
Sc 0.0000 0.5000 0.5000  4 Hf 3.27, 4 Ho 3.27, 4 Sc 3.29
Sc 0.5000 0.0000 0.5000  4 Hf 3.27, 4 Ho 3.27, 4 Sc 3.29

Calculated values
* energy above the most stable polymorph in this dataset: 0.17 eV per formula unit


Ho12HfSc7: relaxed, PBE.

Unit cell a=8.9475 b=8.9475 c=8.9475 alpha=108.31 beta=108.31 gamma=108.31
Closest atoms and distances in Å follow each position.
Atoms (fractional coordinates):
Ho 0.1019 0.4271 0.2082  3 Sc 3.12-3.34, 2 Ho 3.25-3.31, 1 Hf 3.40
Ho 0.1050 0.3023 0.8198  3 Sc 3.17-3.48, 3 Ho 3.25-3.50
Ho 0.1802 0.8950 0.6977  3 Sc 3.17-3.48, 3 Ho 3.25-3.50
Ho 0.2082 0.1019 0.4271  3 Sc 3.12-3.34, 2 Ho 3.25-3.31, 1 Hf 3.40
Ho 0.3023 0.8198 0.1050  3 Sc 3.17-3.48, 3 Ho 3.25-3.50
Ho 0.4271 0.2082 0.1019  3 Sc 3.12-3.34, 2 Ho 3.25-3.31, 1 Hf 3.40
Ho 0.5729 0.7918 0.8981  3 Sc 3.12-3.34, 2 Ho 3.25-3.31, 1 Hf 3.40
Ho 0.6977 0.1802 0.8950  3 Sc 3.17-3.48, 3 Ho 3.25-3.50
Ho 0.7918 0.8981 0.5729  3 Sc 3.12-3.34, 2 Ho 3.25-3.31, 1 Hf 3.40
Ho 0.8198 0.1050 0.3023  3 Sc 3.17-3.48, 3 Ho 3.25-3.50
Ho 0.8950 0.6977 0.1802  3 Sc 3.17-3.48, 3 Ho 3.25-3.50
Ho 0.8981 0.5729 0.7918  3 Sc 3.12-3.34, 2 Ho 3.25-3.31, 1 Hf 3.40
Hf 0.5000 0.5000 0.5000  6 Sc 3.19, 6 Ho 3.40
Sc 0.0000 0.0000 0.0000  12 Ho 3.34-3.59
Sc 0.1916 0.5090 0.6043  5 Ho 3.12-3.48, 1 Hf 3.19, 3 Sc 3.27-3.37
Sc 0.3957 0.8084 0.4910  5 Ho 3.12-3.48, 1 Hf 3.19, 3 Sc 3.27-3.37
Sc 0.4910 0.3957 0.8084  5 Ho 3.12-3.48, 1 Hf 3.19, 3 Sc 3.27-3.37
Sc 0.5090 0.6043 0.1916  5 Ho 3.12-3.48, 1 Hf 3.19, 3 Sc 3.27-3.37
Sc 0.6043 0.1916 0.5090  5 Ho 3.12-3.48, 1 Hf 3.19, 3 Sc 3.27-3.37
Sc 0.8084 0.4910 0.3957  5 Ho 3.12-3.48, 1 Hf 3.19, 3 Sc 3.27-3.37

Calculated values
* VASP energy: -105.6 eV/cell


Ho2HfSc6: relaxed, PBE.

Unit cell a=8.9727 b=8.9727 c=3.2872 alpha=90.00 beta=90.00 gamma=120.00
Closest atoms and distances in Å follow each position.
Atoms (fractional coordinates):
Ho 0.3333 0.6667 0.0000  9 Sc 3.18-3.37, 2 Ho 3.29
Ho 0.6667 0.3333 0.0000  9 Sc 3.18-3.37, 2 Ho 3.29
Hf 0.0000 0.0000 0.5000  9 Sc 3.08-3.12, 2 Hf 3.29
Sc 0.0000 0.3435 0.5000  1 Hf 3.08, 6 Sc 3.29-3.33, 4 Ho 3.37
Sc 0.0000 0.7047 0.0000  2 Hf 3.12, 2 Ho 3.18, 6 Sc 3.29-3.33
Sc 0.2953 0.2953 0.0000  2 Hf 3.12, 2 Ho 3.18, 6 Sc 3.29-3.33
Sc 0.3435 0.0000 0.5000  1 Hf 3.08, 6 Sc 3.29-3.33, 4 Ho 3.37
Sc 0.6565 0.6565 0.5000  1 Hf 3.08, 6 Sc 3.29-3.33, 4 Ho 3.37
Sc 0.7047 0.0000 0.0000  2 Hf 3.12, 2 Ho 3.18, 6 Sc 3.29-3.33

Calculated values
* energy above the most stable polymorph in this dataset: 0.00 eV per formula unit


Ho2HfSc8: relaxed, PBE.

Unit cell a=8.5402 b=8.5402 c=5.3374 alpha=104.88 beta=104.88 gamma=121.74
Closest atoms and distances in Å follow each position.
Atoms (fractional coordinates):
Ho 0.1934 0.8066 0.0000  8 Sc 3.09-3.26
Ho 0.8066 0.1934 0.0000  8 Sc 3.09-3.26
Hf 0.5000 0.5000 0.5000  4 Sc 3.01-3.08
Sc 0.0785 0.0785 0.2983  4 Sc 2.73-3.05
Sc 0.1801 0.4029 0.8309  3 Sc 2.94-3.24, 2 Ho 3.24-3.26
Sc 0.2985 0.7015 0.5000  1 Hf 3.01, 2 Ho 3.09, 4 Sc 3.32-3.34
Sc 0.4029 0.1801 0.8309  3 Sc 2.94-3.24, 2 Ho 3.24-3.26
Sc 0.5971 0.8199 0.1691  3 Sc 2.94-3.24, 2 Ho 3.24-3.26
Sc 0.7015 0.2985 0.5000  1 Hf 3.01, 2 Ho 3.09, 4 Sc 3.32-3.34
Sc 0.8199 0.5971 0.1691  3 Sc 2.94-3.24, 2 Ho 3.24-3.26
Sc 0.9215 0.9215 0.7017  4 Sc 2.73-3.05

Calculated values
* VASP energy: -67.5 eV/cell


Record order is preserved below.
Magnetization: 0.0 0.0 0.5 0.0 0.0 3.0 0.0 0.0 μB per formula unit